No. 1
This record from OQMD describes a relaxed SrBeAu crystal. The functional is PBE-GGA.

Computed properties:
Mass density ... 6.770 g cm⁻³
VASP energy ... -33.422 eV for the cell shown
Crystal system ... cubic

Lattice parameters (Å, degrees): 6.6041 6.6041 6.6041 90.00 90.00 90.00
Last column: nearest neighbours and their distance in Å.
Space group F-43m (No. 216)
Symmetry-distinct sites (fractional):
Sr1 0.0000 0.0000 0.0000 x4  4 Be 2.86
Be1 0.2500 0.2500 0.7500 x4  4 Sr 2.86, 4 Au 2.86
Au1 0.0000 0.0000 0.5000 x4  4 Be 2.86

=====

No. 2
This record from OQMD describes a relaxed HfZrNp crystal. The functional is PBE-GGA.

Computed properties:
DFT formation energy ... 1.047 eV/atom
Mass density ... 11.024 g cm⁻³
Crystal system ... cubic

Lattice parameters (Å, degrees): 6.7335 6.7335 6.7335 90.00 90.00 90.00
Last column: nearest neighbours and their distance in Å.
Space group F-43m (No. 216)
Symmetry-distinct sites (fractional):
Hf1 0.0000 0.0000 0.0000 x4  4 Np 2.92, 4 Zr 2.92
Zr1 0.2500 0.2500 0.2500 x4  4 Hf 2.92
Np1 0.2500 0.2500 0.7500 x4  4 Hf 2.92